A geometry-optimized YZn2Au structure. Source: Alexandria via LeMat-Bulk, functional PBE.

Calculated values
- DOS at the Fermi energy: 0.549 states/eV/atom
- Energy of formation: -0.36 eV per atom
- Symmetry: P4mm, No. 99

```
YZn2Au
1.0
3.4832 0.0000 0.0000
0.0000 3.4816 0.0000
0.0000 0.0000 6.4854
Y Au Zn
1 1 2
direct
0.5000 0.5000 0.7445
0.0000 0.0000 0.4745
0.5000 0.5000 0.2384
0.0000 0.0000 0.0427
```

A geometry-optimized PrGa4Ir3 structure. Source: Alexandria via LeMat-Bulk, functional PBE.

Calculated values
- DOS at the Fermi energy: 0.609 states/eV/atom
- Energy of formation: -0.53 eV per atom
- Symmetry: P4/mmm, No. 123

```
PrGa4Ir3
1.0
-0.5616 1.0415 4.0644
-1.9847 -3.6788 0.6684
7.2856 -3.5810 1.9244
Ga Ir Pr
4 3 1
direct
0.0000 0.5000 0.8252
0.0000 0.5000 0.1748
0.5000 0.0000 0.1748
0.5000 0.0000 0.8252
0.5000 0.5000 0.6523
0.5000 0.5000 0.3477
0.0000 0.0000 0.0000
0.0000 0.0000 0.5000
```

A geometry-optimized YBiO4 structure. Source: Alexandria via LeMat-Bulk, functional PBE.

Calculated values
- Formation energy from raw total energies: -1995 meV per atom
- Symmetry: P2_1/c, No. 14

```
YBiO4
1.0
-5.0427 -1.9378 -1.0820
-0.9058 -1.8645 7.5609
-2.9034 7.2554 0.5375
O Y Bi
16 4 4
direct
0.5067 0.3396 0.8886
0.0075 0.3928 0.8335
0.0996 0.9165 0.3218
0.5996 0.0835 0.1782
0.4098 0.1730 0.5767
0.4933 0.6604 0.1114
0.0067 0.6604 0.6114
0.9098 0.8270 0.9233
0.5902 0.8270 0.4233
0.0902 0.1730 0.0767
0.4925 0.3928 0.3335
0.9925 0.6072 0.1665
0.4004 0.9165 0.8218
0.5075 0.6072 0.6665
0.9004 0.0835 0.6782
0.9933 0.3396 0.3886
0.2682 0.6336 0.3844
0.2318 0.6336 0.8844
0.7318 0.3664 0.6156
0.7682 0.3664 0.1156
0.2717 0.1610 0.3217
0.7717 0.8390 0.1783
0.7283 0.8390 0.6783
0.2283 0.1610 0.8217
```

A geometry-optimized Pm5Sm8Pb structure. Source: Alexandria via LeMat-Bulk, functional PBE.

Calculated values
- DOS at the Fermi energy: 1.469 states/eV/atom
- Energy of formation: 0.16 eV per atom
- Symmetry: I-4, No. 82

```
Pm5Sm8Pb
1.0
8.1059 0.0000 -2.7793
-4.0482 6.9759 -2.8949
-0.0096 0.0000 8.5691
Sm Pb Pm
8 1 5
direct
0.6458 0.3978 0.9122
0.7520 0.2664 0.3542
0.0878 0.7336 0.4856
0.5610 0.8964 0.8383
0.5144 0.6022 0.2480
0.3354 0.2772 0.4390
0.1617 0.7228 0.0582
0.9418 0.1036 0.6646
0.2500 0.5000 0.7500
0.8133 0.6913 0.7034
0.8780 0.8901 0.1867
0.0121 0.3087 0.1220
0.2966 0.1099 0.9879
0.5000 0.0000 0.5000
```

A geometry-optimized LiLa2MgRh structure. Source: Alexandria via LeMat-Bulk, functional PBE.

Calculated values
- DOS at the Fermi energy: 0.708 states/eV/atom
- Energy of formation: -0.27 eV per atom
- Distance to the lowest polymorph of the same formula: 0 meV/atom
- Symmetry: P4/mmm, No. 123

```
LiLa2MgRh
1.0
5.5036 0.0000 0.0000
0.0000 5.5036 0.0000
0.0000 0.0000 5.2424
Rh Mg Li La
1 1 1 2
direct
0.0000 0.0000 0.0000
0.0000 0.0000 0.5000
0.5000 0.5000 0.5000
0.5000 0.0000 0.0000
0.0000 0.5000 0.0000
```

A geometry-optimized ErThZr2 structure. Source: Alexandria via LeMat-Bulk, functional PBE.

Calculated values
- DOS at the Fermi energy: 1.293 states/eV/atom
- Energy of formation: 0.11 eV per atom
- Distance to the lowest polymorph of the same formula: 18 meV/atom
- Symmetry: P4/mmm, No. 123

```
ErThZr2
1.0
3.9526 0.0000 0.0000
0.0000 3.9526 0.0000
0.0000 0.0000 6.9415
Zr Th Er
2 1 1
direct
0.0000 0.0000 0.7225
0.0000 0.0000 0.2775
0.5000 0.5000 0.5000
0.5000 0.5000 0.0000
```

Listing E_tot for the structures above in their given order: -3.433 -5.961 -7.024 -4.497 -4.417 -7.163 eV/atom.